Entry a
First-principles (GGA-PBE) data for a relaxed structure of Fe2OsBr, as listed in the Alexandria database.

Unit cell a=8.3419 b=8.3419 c=8.3419 alpha=19.87 beta=19.87 gamma=19.87
Atoms (fractional coordinates):
Fe (0.2478, 0.2478, 0.2478)
Fe (0.7522, 0.7522, 0.7522)
Os (0.5000, 0.5000, 0.5000)
Br (0.0000, 0.0000, 0.0000)

Properties
density = 10.8 g cm⁻³

Entry b
First-principles (GGA-PBE) data for a relaxed structure of Fe2OsBr, as listed in the Alexandria database.

Unit cell a=4.8080 b=4.8080 c=4.8080 alpha=132.14 beta=132.14 gamma=70.01
Atoms (fractional coordinates):
Fe (0.2500, 0.7500, 0.5000)
Fe (0.7500, 0.2500, 0.5000)
Os (0.0000, 0.0000, 0.0000)
Br (0.5000, 0.5000, 0.0000)

Properties
density = 10.6 g cm⁻³

Entry c
First-principles (GGA-PBE) data for a relaxed structure of Fe2OsBr, as listed in the Alexandria database.

Unit cell a=6.7227 b=6.7227 c=6.7227 alpha=155.08 beta=147.77 gamma=41.17
Atoms (fractional coordinates):
Fe (0.0000, 0.0000, 0.0000)
Fe (0.6168, 0.1168, 0.5000)
Os (0.1786, 0.6786, 0.5000)
Br (0.3597, 0.3597, 0.0000)

Properties
density = 9.3 g cm⁻³

Which of them is the most stable, and which is the least stable? entry a and entry b, in that order.

Entry a
First-principles (GGA-PBE) data for a relaxed structure of Fe2OsBr, as listed in the Alexandria database.

Unit cell a=2.8724 b=2.8724 c=8.4240 alpha=90.00 beta=90.00 gamma=116.52
Atoms (fractional coordinates):
Fe (0.0000, 0.0000, 0.2377)
Fe (0.0000, 0.0000, 0.7623)
Os (0.5000, 0.5000, 0.0000)
Br (0.5000, 0.5000, 0.5000)

Properties
density = 10.2 g cm⁻³

Entry b
First-principles (GGA-PBE) data for a relaxed structure of Fe2OsBr, as listed in the Alexandria database.

Unit cell a=2.9910 b=3.0269 c=7.1505 alpha=90.00 beta=90.00 gamma=90.00
Atoms (fractional coordinates):
Fe (0.0000, 0.0000, 0.2040)
Fe (0.0000, 0.0000, 0.7960)
Os (0.5000, 0.5000, 0.0000)
Br (0.5000, 0.0000, 0.5000)

Properties
density = 9.8 g cm⁻³

Which of them is the most stable, and which is the least stable? entry b and entry a, in that order.